(1)
5
Lattice="5.4424 0.0000 0.0000 0.0000 5.4424 0.0000 0.0000 0.0000 5.4424" Properties=species:S:1:pos:R:3 comment="PBE-GGA KMg3Cr, relaxed" ef_mev_per_atom=494.5 e_above_lowest_polymorph_ev_per_atom=0.000 dft_energy_ev_per_cell=-13.0 dos_at_fermi_per_ev_atom=0.530 pbc="T T T"
K 0.0000 0.0000 0.0000
Mg 0.0000 2.7212 2.7212
Mg 2.7212 0.0000 2.7212
Mg 2.7212 2.7212 0.0000
Cr 2.7212 2.7212 2.7212

=====

(2)
4
Lattice="4.4239 -1.3533 0.0000 4.4239 1.3533 0.0000 -0.8030 0.0000 4.5993" Properties=species:S:1:pos:R:3 comment="PBE-GGA CoReTc2, relaxed" ef_mev_per_atom=99.8 e_above_lowest_polymorph_ev_per_atom=0.071 dft_energy_ev_per_cell=-39.9 dos_at_fermi_per_ev_atom=1.206 pbc="T T T"
Co 0.0000 0.0000 0.0000
Re 1.6570 0.0000 3.5572
Tc 4.0342 0.0000 2.3260
Tc 6.4147 0.0000 1.1739

=====

(3)
4
Lattice="4.1506 -2.4058 0.0000 4.1506 2.4058 0.0000 -2.7840 0.0000 5.2573" Properties=species:S:1:pos:R:3 comment="PBE-GGA LiAcAgHg, relaxed" ef_mev_per_atom=-337.5 e_above_lowest_polymorph_ev_per_atom=0.000 dft_energy_ev_per_cell=-10.5 dos_at_fermi_per_ev_atom=0.757 pbc="T T T"
Li 0.0000 0.0000 0.0000
Ac 2.7577 0.0000 2.7382
Ag -0.0177 0.0000 4.7133
Hg 5.5350 0.0000 0.8036

=====

(4)
4
Lattice="-1.6626 1.7807 6.4283 1.6626 -1.7807 6.4283 1.6626 1.7807 -6.4283" Properties=species:S:1:pos:R:3 comment="PBE-GGA LaP2Os, relaxed" ef_mev_per_atom=-454.4 e_above_lowest_polymorph_ev_per_atom=0.422 dft_energy_ev_per_cell=-28.8 dos_at_fermi_per_ev_atom=0.582 pbc="T T T"
La 0.0000 0.0000 0.0000
P 0.0000 0.0000 8.0708
P 0.0000 1.7807 4.0374
Os 1.6626 0.0000 3.1362